Entry from the Alexandria database: crystalline Cs2MnRu at its relaxed geometry (PBE).

* N(E_F): 26.3 states/eV/cell
* E_tot: -3.37 eV/atom

a b c (Å): 8.621 8.621 8.621
angles (deg): 90.00 90.00 90.00
Space group Fm-3m (No. 225)
One atom of each set of equivalent atoms:
Cs1 0.250 0.250 0.250 x8
Mn1 0.000 0.000 0.000 x4
Ru1 0.000 0.000 0.500 x4